1.
This record from Alexandria via LeMat-Bulk describes AgSbCI2 after structural relaxation. The functional is PBE-GGA.

D(E_F): 3.41 states/eV/cell
calculated density: 6459 kg/m³
distance to the lowest polymorph of the same formula: 0 meV/atom
total energy: -2.70 eV/atom

a b c (Å): 5.225 5.225 4.666
angles (deg): 90.00 90.00 90.00
Space group P4/mmm (No. 123)
Symmetry-distinct sites (fractional):
Ag 0.000 0.000 0.000 (multiplicity 1)
Sb 0.500 0.500 0.000 (multiplicity 1)
C 0.500 0.500 0.500 (multiplicity 1)
I 0.000 0.500 0.500 (multiplicity 2)



2.
This record from Alexandria via LeMat-Bulk describes KGe2SbW after structural relaxation. The functional is PBE-GGA.

D(E_F): 8.37 states/eV/cell
calculated density: 5902 kg/m³
total energy: -2.93 eV/atom

a b c (Å): 5.007 5.007 5.499
angles (deg): 90.00 90.00 90.00
Space group P4/mmm (No. 123)
Symmetry-distinct sites (fractional):
K 0.000 0.000 0.000 (multiplicity 1)
Ge 0.000 0.500 0.000 (multiplicity 2)
Sb 0.000 0.000 0.500 (multiplicity 1)
W 0.500 0.500 0.500 (multiplicity 1)



3.
This record from Alexandria via LeMat-Bulk describes Li2AcInAu after structural relaxation. The functional is PBE-GGA.

D(E_F): 6.28 states/eV/cell
calculated density: 7597 kg/m³
total energy: -3.23 eV/atom
DFT formation energy: -10.03 kcal/mol of atoms

a b c (Å): 4.313 4.430 12.647
angles (deg): 90.00 90.00 90.00
Space group Imm2 (No. 44)
Symmetry-distinct sites (fractional):
Li 0.000 0.000 0.000 (multiplicity 2)
Li 0.000 0.500 0.349 (multiplicity 2)
Ac 0.000 0.500 0.729 (multiplicity 2)
In 0.000 0.000 0.480 (multiplicity 2)
Au 0.000 0.500 0.139 (multiplicity 2)



4.
This record from Alexandria via LeMat-Bulk describes Ca2HfHSe after structural relaxation. The functional is PBE-GGA.

D(E_F): 5.94 states/eV/cell
calculated density: 4312 kg/m³
total energy: -3.92 eV/atom

a b c (Å): 6.070 6.070 3.540
angles (deg): 90.00 90.00 90.00
Space group P4/mmm (No. 123)
Symmetry-distinct sites (fractional):
Ca 0.000 0.500 0.000 (multiplicity 2)
Hf 0.000 0.000 0.500 (multiplicity 1)
H 0.500 0.500 0.500 (multiplicity 1)
Se 0.500 0.500 0.000 (multiplicity 1)



5.
This record from Alexandria via LeMat-Bulk describes KLiTl2Rh after structural relaxation. The functional is PBE-GGA.

D(E_F): 1.82 states/eV/cell
calculated density: 6517 kg/m³
total energy: -3.12 eV/atom
DFT formation energy: -2.43 kcal/mol of atoms

a b c (Å): 5.300 5.300 5.058
angles (deg): 90.00 90.00 90.00
Space group P4/mmm (No. 123)
Symmetry-distinct sites (fractional):
K 0.000 0.000 0.000 (multiplicity 1)
Li 0.500 0.500 0.000 (multiplicity 1)
Tl 0.000 0.500 0.500 (multiplicity 2)
Rh 0.500 0.500 0.500 (multiplicity 1)



6.
This record from Alexandria via LeMat-Bulk describes ThGa2CuNi5 after structural relaxation. The functional is PBE-GGA.

D(E_F): 3.07 states/eV/cell
calculated density: 8953 kg/m³
total energy: -5.27 eV/atom
DFT formation energy: -2.53 kcal/mol of atoms

a b c (Å): 3.829 3.829 9.214
angles (deg): 90.00 90.00 90.00
Space group P4/mmm (No. 123)
Symmetry-distinct sites (fractional):
Th 0.000 0.000 0.000 (multiplicity 1)
Ga 0.500 0.500 0.371 (multiplicity 2)
Cu 0.000 0.000 0.500 (multiplicity 1)
Ni 0.000 0.500 0.218 (multiplicity 4)
Ni 0.500 0.500 0.000 (multiplicity 1)